DFT (PBE) results for crystalline Cs2ZnAs at its relaxed geometry.

Unit cell a=6.2149 b=6.2149 c=6.2149 alpha=60.00 beta=60.00 gamma=60.00
With the nearest neighbours (Å) after each atom.
Fractional positions:
Cs 0.2500 0.2500 0.2500  4 As 3.81, 4 Zn 3.81
Cs 0.7500 0.7500 0.7500  4 As 3.81, 4 Zn 3.81
As 0.5000 0.5000 0.5000  8 Cs 3.81
Zn 0.0000 0.0000 0.0000  8 Cs 3.81

Properties
Theoretical density: 3.97 g/cm³
Uncorrected energy: -1.8524 eV per atom
ΔE_f: 0.055 eV/atom
Distance to the lowest polymorph of the same formula: 0.3285 eV per atom

=====

DFT (PBE) results for crystalline CsZnAs3 at its relaxed geometry.

Unit cell a=5.8211 b=5.8211 c=5.8211 alpha=90.00 beta=90.00 gamma=90.00
With the nearest neighbours (Å) after each atom.
Fractional positions:
As 0.5000 0.0000 0.0000  2 Cs 2.91
Zn 0.5000 0.5000 0.5000  12 As 4.12
Cs 0.0000 0.0000 0.0000  6 As 2.91
As 0.0000 0.0000 0.5000  2 Cs 2.91
As 0.0000 0.5000 0.0000  2 Cs 2.91

Properties
Theoretical density: 3.56 g/cm³
Uncorrected energy: -1.4220 eV per atom
ΔE_f: 1.793 eV/atom
Distance to the lowest polymorph of the same formula: 1.4595 eV per atom

=====

Number 2 is which compound? CsZnAs3

=====

Which formula does entry 1 have? Cs2ZnAs